No. 1
The following is a DFT calculation (GGA-PBE) of an optimized crystal structure of Zr3ZnAu2.

Lattice parameters (Å, degrees): 3.026 5.210 8.624 107.58 100.11 90.00
Fractional positions:
Zr (0.000, 0.500, 0.000)
Zr (0.825, 0.825, 0.651)
Zr (0.175, 0.175, 0.349)
Zn (0.000, 0.000, 0.000)
Au (0.650, 0.650, 0.300)
Au (0.350, 0.350, 0.700)

Results
VASP energy   -5.657 eV per atom
Symmetry   No. 71
Energy relative to the elements   -0.078 eV/atom


No. 2
The following is a DFT calculation (GGA-PBE) of an optimized crystal structure of Zr2ZnAu.

Lattice parameters (Å, degrees): 8.995 8.995 8.995 21.20 21.20 21.20
Fractional positions:
Au (0.505, 0.505, 0.505)
Zn (0.245, 0.245, 0.245)
Zr (0.996, 0.996, 0.996)
Zr (0.754, 0.754, 0.754)

Results
VASP energy   -5.556 eV per atom
Symmetry   No. 160
Energy relative to the elements   -0.144 eV/atom


No. 3
The following is a DFT calculation (GGA-PBE) of an optimized crystal structure of Zr2Zn3Au.

Lattice parameters (Å, degrees): 5.422 5.422 8.389 101.38 101.38 112.91
Fractional positions:
Zr (0.250, 0.750, 0.500)
Zr (0.747, 0.747, 0.000)
Zr (0.750, 0.250, 0.500)
Zr (0.253, 0.253, 0.000)
Zn (0.327, 0.836, 0.163)
Zn (0.164, 0.673, 0.837)
Zn (0.673, 0.164, 0.837)
Zn (0.836, 0.327, 0.163)
Zn (0.164, 0.164, 0.327)
Zn (0.836, 0.836, 0.673)
Au (0.667, 0.667, 0.334)
Au (0.333, 0.333, 0.666)

Results
VASP energy   -4.392 eV per atom
Symmetry   No. 69
Energy relative to the elements   -0.359 eV/atom
Energy above the most stable polymorph in this dataset   0.000 eV per atom


No. 4
The following is a DFT calculation (GGA-PBE) of an optimized crystal structure of ZrZn6Au2.

Lattice parameters (Å, degrees): 4.237 4.748 8.508 75.90 90.00 116.49
Fractional positions:
Zr (0.000, 0.000, 0.500)
Zn (0.661, 0.322, 0.963)
Zn (0.339, 0.678, 0.037)
Zn (0.022, 0.045, 0.151)
Zn (0.367, 0.734, 0.353)
Zn (0.978, 0.955, 0.849)
Zn (0.633, 0.266, 0.647)
Au (0.300, 0.600, 0.710)
Au (0.700, 0.400, 0.290)

Results
VASP energy   -2.719 eV per atom
Symmetry   No. 12
Energy relative to the elements   -0.192 eV/atom